[1]
A plane-wave DFT calculation with PBE was carried out for crystalline Ho2Cd3Ag at its relaxed geometry.

Lattice parameters (Å, degrees): 5.954 5.954 9.195 101.78 101.78 111.69
Fractional positions:
Ho  0.250  0.750  0.500
Ho  0.748  0.748  0.000
Ho  0.750  0.250  0.500
Ho  0.252  0.252  0.000
Cd  0.664  0.168  0.832
Cd  0.832  0.336  0.168
Cd  0.336  0.832  0.168
Cd  0.168  0.664  0.832
Cd  0.832  0.832  0.665
Cd  0.168  0.168  0.335
Ag  0.333  0.333  0.666
Ag  0.667  0.667  0.334

Properties
formation energy: -1.76 eV per formula unit
polymorph energy (0 for the lowest one): 0.0026 eV per atom
spin magnetization: 0.0 Bohr magnetons per cell
DOS(E_F): 0.7349 states/eV/atom


[2]
A plane-wave DFT calculation with PBE was carried out for crystalline Th3InRu at its relaxed geometry.

Lattice parameters (Å, degrees): 5.985 7.182 7.177 90.00 90.00 112.90
Fractional positions:
Th  0.942  0.714  0.518
Th  0.058  0.286  0.482
Th  0.942  0.714  0.982
Th  0.058  0.286  0.018
Th  0.486  0.162  0.750
Th  0.514  0.838  0.250
In  0.412  0.664  0.750
In  0.588  0.336  0.250
Ru  0.850  0.002  0.750
Ru  0.150  0.998  0.250

Properties
formation energy: -1.36 eV per formula unit
polymorph energy (0 for the lowest one): 0.0000 eV per atom
spin magnetization: 0.0 Bohr magnetons per cell
DOS(E_F): 0.9699 states/eV/atom


[3]
A plane-wave DFT calculation with PBE was carried out for crystalline RuAuSe2 at its relaxed geometry.

Lattice parameters (Å, degrees): 3.822 3.822 8.090 106.79 106.79 49.75
Fractional positions:
Au  0.750  0.750  0.750
Ru  0.250  0.250  0.250
Se  0.883  0.883  0.073
Se  0.617  0.617  0.427

Properties
spin magnetization: 0.0 Bohr magnetons per cell
DOS(E_F): 0.5581 states/eV/atom
energy relative to the elements, uncorrected: -0.11 eV/atom